Entry 1:
A plane-wave DFT calculation with PBE was carried out for a relaxed structure of BaNdP2Pd2.

a b c (Å): 4.2391 4.2391 8.6866
angles (deg): 90.00 90.00 120.00
Last column: nearest neighbours and their distance in Å.
Fractional coordinates of all 6 atoms:
Ba1 0.0000 0.0000 0.0000  6 Pd 3.40, 6 P 3.44
P1 0.3333 0.6667 0.2791  3 Pd 2.45
Nd1 0.0000 0.0000 0.5000  6 P 3.11, 6 Pd 3.15
Pd1 0.6667 0.3333 0.2712  3 P 2.45
P2 0.6667 0.3333 0.7209  3 Pd 2.45
Pd2 0.3333 0.6667 0.7288  3 P 2.45

Summary:
Space-group type: No. 164

Entry 2:
A plane-wave DFT calculation with PBE was carried out for a relaxed structure of ErMg3.

a b c (Å): 5.1419 5.1419 5.1677
angles (deg): 119.84 119.84 90.00
Last column: nearest neighbours and their distance in Å.
Fractional coordinates of all 4 atoms:
Mg1 0.7500 0.2500 0.5000  4 Mg 3.16, 4 Er 3.16
Mg2 0.2500 0.7500 0.5000  4 Mg 3.16, 4 Er 3.16
Mg3 0.5000 0.5000 0.0000  8 Mg 3.16
Er1 0.0000 0.0000 0.0000  8 Mg 3.16

Summary:
Space-group type: No. 139

What are the total magnetization values for these records? In order: 0.00; 0.00 μB per formula unit.
What are the calculated formation energy values for these records? In order: -1.11; -0.06 eV/atom.